1.
SmHfTi2 | the Alexandria database | GGA-PBE | optimized geometry; calculated volume = 22.38 A^3/atom; formation enthalpy at 0 K = 0.17 eV per atom; SG = No. 123; DOS(E_F) = 1.394 states/eV per atom; crystal system = tetragonal
1.0
-1.747 3.117 -0.612
-0.903 0.183 3.507
5.720 3.460 1.293
Ti Sm Hf
2 1 1
direct
0.000 0.000 0.800 Ti
0.000 0.000 0.200 Ti
0.500 0.500 0.500 Sm
0.500 0.500 0.000 Hf

2.
In2Sn2SbPd7 | the Alexandria database | GGA-PBE | optimized geometry; raw formation energy = -416 kJ/mol of formula units; calculated volume = 20.23 A^3/atom; SG = No. 12; DOS(E_F) = 0.327 states/eV per atom; crystal system = monoclinic
1.0
-0.669 -3.779 -0.907
3.874 -0.585 -0.446
1.975 -4.939 14.750
Sn In Pd Sb
2 2 7 1
direct
0.429 0.429 0.252 Sn
0.571 0.571 0.748 Sn
0.124 0.124 0.590 In
0.876 0.876 0.410 In
0.500 0.500 0.000 Pd
0.376 0.376 0.422 Pd
0.039 0.538 0.865 Pd
0.462 0.961 0.135 Pd
0.538 0.039 0.865 Pd
0.961 0.462 0.135 Pd
0.624 0.624 0.578 Pd
0.000 0.000 0.000 Sb

3.
HfBeF2 | the Alexandria database | GGA-PBE | optimized geometry; raw formation energy = -318 kJ/mol of formula units; calculated volume = 12.14 A^3/atom; ΔE to the lowest computed polymorph = 804 meV per atom; SG = No. 225; DOS(E_F) = 0.816 states/eV per atom; crystal system = cubic
1.0
0.000 2.896 2.896
2.896 0.000 2.896
2.896 2.896 0.000
Hf F Be
1 2 1
direct
0.500 0.500 0.500 Hf
0.250 0.250 0.250 F
0.750 0.750 0.750 F
0.000 0.000 0.000 Be

4.
La2CdTe4 | the Alexandria database | GGA-PBE | optimized geometry; raw formation energy = -787 kJ/mol of formula units; calculated volume = 32.55 A^3/atom; SG = No. 122; crystal system = tetragonal
1.0
-4.741 4.741 5.069
4.741 -4.741 5.069
4.741 4.741 -5.069
Te La Cd
8 4 2
direct
0.260 0.387 0.266 Te
0.745 0.371 0.234 Te
0.137 0.510 0.766 Te
0.490 0.255 0.626 Te
0.613 0.879 0.874 Te
0.005 0.740 0.126 Te
0.121 0.995 0.734 Te
0.629 0.863 0.374 Te
0.004 0.125 0.379 La
0.746 0.625 0.621 La
0.875 0.254 0.879 La
0.375 0.996 0.121 La
0.250 0.750 0.500 Cd
0.500 0.500 0.000 Cd

5.
NpTlBi2O6 | the Alexandria database | GGA-PBE | optimized geometry; raw formation energy = -1634 kJ/mol of formula units; calculated volume = 18.75 A^3/atom; SG = No. 146; DOS(E_F) = 0.777 states/eV per atom; crystal system = trigonal
1.0
6.065 0.000 0.001
3.033 5.253 0.000
3.033 1.751 5.885
Bi O Tl Np
2 6 1 1
direct
0.538 0.538 0.385 Bi
0.005 0.005 0.985 Bi
0.315 0.935 0.200 O
0.549 0.315 0.200 O
0.161 0.330 0.796 O
0.935 0.549 0.200 O
0.713 0.161 0.796 O
0.330 0.713 0.796 O
0.786 0.786 0.643 Tl
0.329 0.329 0.014 Np

6.
LaAl2Pt2 | the Alexandria database | GGA-PBE | optimized geometry; calculated volume = 18.41 A^3/atom; formation enthalpy at 0 K = -0.73 eV per atom; SG = No. 127; DOS(E_F) = 1.418 states/eV per atom; crystal system = tetragonal
1.0
7.949 0.000 0.000
0.000 7.949 0.000
0.000 0.000 2.913
Pt La Al
4 2 4
direct
0.366 0.866 0.000 Pt
0.634 0.134 0.000 Pt
0.134 0.366 0.000 Pt
0.866 0.634 0.000 Pt
0.000 0.000 0.000 La
0.500 0.500 0.000 La
0.349 0.151 0.500 Al
0.849 0.349 0.500 Al
0.151 0.651 0.500 Al
0.651 0.849 0.500 Al

7.
Be5Rh4 | the Alexandria database | GGA-PBE | optimized geometry; calculated volume = 10.83 A^3/atom; formation enthalpy at 0 K = -0.49 eV per atom; ΔE to the lowest computed polymorph = 18 meV per atom; SG = No. 193; DOS(E_F) = 0.382 states/eV per atom; crystal system = hexagonal
1.0
6.766 0.000 0.000
-3.383 5.859 0.000
0.000 0.000 4.919
Rh Be
8 10
direct
0.000 0.000 0.000 Rh
0.628 0.628 0.250 Rh
0.372 0.000 0.250 Rh
0.000 0.628 0.750 Rh
0.000 0.372 0.250 Rh
0.000 0.000 0.500 Rh
0.628 0.000 0.750 Rh
0.372 0.372 0.750 Rh
0.000 0.700 0.250 Be
0.667 0.333 0.500 Be
0.000 0.300 0.750 Be
0.300 0.000 0.750 Be
0.300 0.300 0.250 Be
0.667 0.333 0.000 Be
0.333 0.667 0.000 Be
0.333 0.667 0.500 Be
0.700 0.700 0.750 Be
0.700 0.000 0.250 Be

8.
Sr8TlN2 | the Alexandria database | GGA-PBE | optimized geometry; raw formation energy = -301 kJ/mol of formula units; calculated volume = 44.17 A^3/atom; SG = No. 12; DOS(E_F) = 0.734 states/eV per atom; crystal system = monoclinic
1.0
8.344 0.412 0.353
1.664 8.146 1.576
1.664 2.820 7.803
Sr N Tl
8 2 1
direct
0.236 0.347 0.901 Sr
0.764 0.099 0.653 Sr
0.764 0.653 0.099 Sr
0.236 0.901 0.347 Sr
0.377 0.833 0.833 Sr
0.219 0.366 0.366 Sr
0.623 0.167 0.167 Sr
0.781 0.634 0.634 Sr
0.673 0.800 0.800 N
0.327 0.200 0.200 N
0.000 0.000 0.000 Tl